First-principles (PBE) data for crystalline Ac3CdGa2Au6 at its relaxed geometry, as listed in Alexandria.

Lattice parameters (Å, degrees): 6.5284 6.5284 8.5493 90.00 90.00 120.00
Fractional coordinates of all 12 atoms:
1 Au 0.1850 0.3699 0.2795
2 Au 0.1850 0.8150 0.2795
3 Au 0.6301 0.8150 0.2795
4 Au 0.3699 0.1850 0.7205
5 Au 0.8150 0.6301 0.7205
6 Au 0.8150 0.1850 0.7205
7 Ga 0.3333 0.6667 0.0279
8 Ga 0.6667 0.3333 0.9721
9 Ac 0.0000 0.0000 0.0000
10 Ac 0.3333 0.6667 0.6394
11 Ac 0.6667 0.3333 0.3606
12 Cd 0.0000 0.0000 0.5000

Properties
DFT formation energy	-0.528	eV per atom


First-principles (PBE) data for crystalline Mg2CdPb2 at its relaxed geometry, as listed in Alexandria.

Lattice parameters (Å, degrees): 3.2988 7.6088 11.1846 74.67 81.52 77.48
Fractional coordinates of all 10 atoms:
1 Pb 0.6425 0.2615 0.4534
2 Pb 0.4146 0.2240 0.9468
3 Pb 0.3575 0.7385 0.5466
4 Pb 0.5854 0.7760 0.0532
5 Mg 0.2557 0.6462 0.8424
6 Mg 0.7443 0.3538 0.1576
7 Mg 0.0277 0.6302 0.3145
8 Mg 0.9723 0.3698 0.6855
9 Cd 0.6395 0.9920 0.7290
10 Cd 0.3605 0.0080 0.2710

Properties
DFT formation energy	-0.010	eV per atom


First-principles (PBE) data for crystalline AlFeH2 at its relaxed geometry, as listed in Alexandria.

Lattice parameters (Å, degrees): 2.9600 3.1630 3.1630 90.07 90.00 90.00
Fractional coordinates of all 4 atoms:
1 H 0.5000 0.5000 0.0000
2 H 0.5000 0.0000 0.5000
3 Al 0.0000 0.0000 0.0000
4 Fe 0.5000 0.5000 0.5000


First-principles (PBE) data for crystalline NpCN2O at its relaxed geometry, as listed in Alexandria.

Lattice parameters (Å, degrees): 3.5284 5.5397 6.5286 95.44 90.00 90.00
Fractional coordinates of all 10 atoms:
1 O 0.2500 0.8282 0.9955
2 O 0.7500 0.1718 0.0045
3 N 0.7500 0.8565 0.6186
4 N 0.7500 0.4285 0.6954
5 N 0.2500 0.1435 0.3814
6 N 0.2500 0.5715 0.3046
7 C 0.7500 0.6384 0.6581
8 C 0.2500 0.3616 0.3419
9 Np 0.7500 0.8792 0.2106
10 Np 0.2500 0.1208 0.7894

Properties
formation energy from raw total energies	-1.05	eV per atom


First-principles (PBE) data for crystalline ScN at its relaxed geometry, as listed in Alexandria.

Lattice parameters (Å, degrees): 8.6427 8.6427 3.7162 90.00 90.00 90.00
Fractional coordinates of all 16 atoms:
1 Sc 0.1217 0.3003 0.5000
2 Sc 0.3783 0.1997 0.0000
3 Sc 0.6997 0.1217 0.5000
4 Sc 0.3003 0.8783 0.5000
5 Sc 0.8783 0.6997 0.5000
6 Sc 0.6217 0.8003 0.0000
7 Sc 0.8003 0.3783 0.0000
8 Sc 0.1997 0.6217 0.0000
9 N 0.1204 0.7070 0.5000
10 N 0.2070 0.3796 0.0000
11 N 0.7930 0.6204 0.0000
12 N 0.3796 0.7930 0.0000
13 N 0.6204 0.2070 0.0000
14 N 0.8796 0.2930 0.5000
15 N 0.2930 0.1204 0.5000
16 N 0.7070 0.8796 0.5000

Properties
formation energy from raw total energies	-1.57	eV per atom


First-principles (PBE) data for crystalline MgIn8Ga6 at its relaxed geometry, as listed in Alexandria.

Lattice parameters (Å, degrees): 7.8252 7.8252 7.8252 65.29 65.29 65.29
Fractional coordinates of all 15 atoms:
1 In 0.7777 0.1112 0.4443
2 In 0.1112 0.4443 0.7777
3 In 0.5557 0.2223 0.8888
4 In 0.4443 0.7777 0.1112
5 In 0.2223 0.8888 0.5557
6 In 0.6674 0.6674 0.6674
7 In 0.8888 0.5557 0.2223
8 In 0.3326 0.3326 0.3326
9 Mg 0.0000 0.0000 0.0000
10 Ga 0.7324 0.3919 0.0618
11 Ga 0.2676 0.6081 0.9382
12 Ga 0.6081 0.9382 0.2676
13 Ga 0.0618 0.7324 0.3919
14 Ga 0.3919 0.0618 0.7324
15 Ga 0.9382 0.2676 0.6081

Properties
DFT formation energy	0.064	eV per atom


First-principles (PBE) data for crystalline B at its relaxed geometry, as listed in Alexandria.

Lattice parameters (Å, degrees): 1.6185 2.8623 3.9857 89.87 98.93 90.00
Fractional coordinates of all 2 atoms:
1 B 0.7937 0.7497 0.1145
2 B 0.2063 0.2503 0.8855

Properties
DFT formation energy	0.470	eV per atom


First-principles (PBE) data for crystalline YAlCu3 at its relaxed geometry, as listed in Alexandria.

Lattice parameters (Å, degrees): 5.1082 5.1082 5.1082 90.00 90.00 90.00
Fractional coordinates of all 5 atoms:
1 Cu 0.0000 0.5000 0.0000
2 Cu 0.5000 0.0000 0.0000
3 Cu 0.0000 0.0000 0.5000
4 Y 0.0000 0.0000 0.0000
5 Al 0.5000 0.5000 0.5000

Properties
DFT formation energy	1.210	eV per atom


First-principles (PBE) data for crystalline YZrSc at its relaxed geometry, as listed in Alexandria.

Lattice parameters (Å, degrees): 5.8037 5.8037 5.8037 146.67 132.90 58.92
Fractional coordinates of all 3 atoms:
1 Y 0.3313 0.3313 0.0000
2 Sc 0.0089 0.0089 0.0000
3 Zr 0.6598 0.6598 0.0000

Properties
DFT formation energy	0.083	eV per atom


Number 1: final energy -3.774 eV/atom. Number 2: final energy -2.314 eV/atom. Number 3: final energy -4.684 eV/atom. Number 4: final energy -9.806 eV/atom. Number 5: final energy -8.893 eV/atom. Number 6: final energy -2.713 eV/atom. Number 7: final energy -6.207 eV/atom. Number 8: final energy -3.289 eV/atom. Number 9: final energy -7.032 eV/atom.